First-principles (PBE) data for a relaxed Er12Ge6C crystal, as listed in Alexandria.

Cell: 8.0542 8.0542 8.0542 Å, 98.69 98.69 98.69°
Fractional positions:
Ge1 0.2938 0.1239 0.6210
Ge2 0.1239 0.6210 0.2938
Ge3 0.6210 0.2938 0.1239
Ge4 0.7062 0.8761 0.3790
Ge5 0.8761 0.3790 0.7062
Ge6 0.3790 0.7062 0.8761
Er1 0.5632 0.1875 0.4279
Er2 0.0304 0.6952 0.9310
Er3 0.0690 0.9696 0.3048
Er4 0.5721 0.4368 0.8125
Er5 0.4368 0.8125 0.5721
Er6 0.4279 0.5632 0.1875
Er7 0.8125 0.5721 0.4368
Er8 0.1875 0.4279 0.5632
Er9 0.9310 0.0304 0.6952
Er10 0.3048 0.0690 0.9696
Er11 0.6952 0.9310 0.0304
Er12 0.9696 0.3048 0.0690
C1 0.0000 0.0000 0.0000

Space group: R-3
Formation energy from the elements (kJ/mol of formula units): -978
Magnetic moment (Bohr magnetons per cell): 0.000

First-principles (PBE) data for a relaxed Er4GeC2 crystal, as listed in Alexandria.

Cell: 3.6873 6.3358 12.4207 Å, 90.00 90.00 106.92°
Site moments in Bohr magnetons follow the coordinates.
Fractional positions:
Er1 0.7652 0.5304 0.1058  0.04
Er2 0.9325 0.8649 0.7500  0.09
Er3 0.0675 0.1351 0.2500  0.09
Er4 0.5000 0.0000 0.0000  0.02
Er5 0.2348 0.4696 0.6058  0.04
Er6 0.7652 0.5304 0.3942  0.04
Er7 0.2348 0.4696 0.8942  0.04
Er8 0.5000 0.0000 0.5000  0.02
C1 0.1359 0.2719 0.0606  -0.01
C2 0.8641 0.7281 0.9394  -0.01
C3 0.8641 0.7281 0.5606  -0.01
C4 0.1359 0.2719 0.4394  -0.01
Ge1 0.3883 0.7767 0.2500  -0.01
Ge2 0.6117 0.2233 0.7500  -0.01

Space group: Cmcm
Formation energy from the elements (kJ/mol of formula units): -339
Magnetic moment (Bohr magnetons per cell): 0.468

First-principles (PBE) data for a relaxed Er6GeC2 crystal, as listed in Alexandria.

Cell: 4.8441 6.7543 7.6311 Å, 71.88 71.49 68.99°
Fractional positions:
Er1 0.9689 0.8631 0.1991
Er2 0.6563 0.2696 0.4179
Er3 0.3437 0.7304 0.5821
Er4 0.0311 0.1369 0.8009
Er5 0.6968 0.6803 0.9261
Er6 0.3032 0.3197 0.0739
C1 0.8189 0.2712 0.0910
C2 0.1811 0.7288 0.9090
Ge1 0.0000 0.5000 0.5000

Space group: C2/m
Formation energy from the elements (kJ/mol of formula units): -259
Magnetic moment (Bohr magnetons per cell): 0.001

First-principles (PBE) data for a relaxed Er4GeC2 crystal, as listed in Alexandria.

Cell: 6.0114 6.0114 6.0114 Å, 105.00 105.00 118.85°
Fractional positions:
Ge1 0.5000 0.5000 0.0000
Er1 0.3304 0.1475 0.4779
Er2 0.8525 0.3304 0.1829
Er3 0.1475 0.6696 0.8171
Er4 0.6696 0.8525 0.5221
C1 0.7500 0.2500 0.5000
C2 0.2500 0.7500 0.5000

Space group: I4/m
Formation energy from the elements (kJ/mol of formula units): -99
Magnetic moment (Bohr magnetons per cell): 0.000

First-principles (PBE) data for a relaxed Er2Hf2Ge2C crystal, as listed in Alexandria.

Cell: 4.3725 4.3725 8.1571 Å, 105.55 105.55 90.00°
Fractional positions:
Ge1 0.3672 0.3672 0.7345
Ge2 0.6328 0.6328 0.2655
C1 0.0000 0.0000 0.0000
Er1 0.8333 0.8333 0.6666
Er2 0.1667 0.1667 0.3334
Hf1 0.0000 0.5000 0.0000
Hf2 0.5000 0.0000 0.0000

Space group: I4/mmm
Formation energy from the elements (kJ/mol of formula units): -497
Magnetic moment (Bohr magnetons per cell): 0.204

First-principles (PBE) data for a relaxed La2Er2Ge2C crystal, as listed in Alexandria.

Cell: 4.7250 4.7250 8.6932 Å, 105.77 105.77 90.00°
Fractional positions:
Ge1 0.6301 0.6301 0.2602
Ge2 0.3699 0.3699 0.7398
La1 0.8333 0.8333 0.6665
La2 0.1667 0.1667 0.3335
Er1 0.0000 0.5000 0.0000
Er2 0.5000 0.0000 0.0000
C1 0.0000 0.0000 0.0000

Space group: I4/mmm
Formation energy from the elements (kJ/mol of formula units): -491
Magnetic moment (Bohr magnetons per cell): 0.001

First-principles (PBE) data for a relaxed La3ErGe2C crystal, as listed in Alexandria.

Cell: 4.7924 4.9441 8.7598 Å, 106.39 105.88 90.00°
Fractional positions:
La1 0.1692 0.1692 0.3385
La2 0.0000 0.5000 0.0000
La3 0.8308 0.8308 0.6615
C1 0.0000 0.0000 0.0000
Ge1 0.3657 0.3657 0.7313
Ge2 0.6343 0.6343 0.2687
Er1 0.5000 0.0000 0.0000

Space group: Immm
Formation energy from the elements (kJ/mol of formula units): -393
Magnetic moment (Bohr magnetons per cell): 0.000

First-principles (PBE) data for a relaxed Er2Nb2Ge2C crystal, as listed in Alexandria.

Cell: 4.2619 4.2619 8.0520 Å, 105.35 105.35 90.00°
Fractional positions:
Nb1 0.0000 0.5000 0.0000
Nb2 0.5000 0.0000 0.0000
Ge1 0.6307 0.6307 0.2613
Ge2 0.3693 0.3693 0.7387
Er1 0.8343 0.8343 0.6687
Er2 0.1657 0.1657 0.3313
C1 0.0000 0.0000 0.0000

Space group: I4/mmm
Formation energy from the elements (kJ/mol of formula units): -429
Magnetic moment (Bohr magnetons per cell): 0.000

First-principles (PBE) data for a relaxed Er4GePbC crystal, as listed in Alexandria.

Cell: 6.6612 6.6646 8.4400 Å, 90.00 113.24 90.00°
Fractional positions:
C1 0.7523 0.2500 0.5045
C2 0.2477 0.7500 0.4955
Er1 0.5000 0.0000 0.5000
Er2 0.0000 0.0000 0.5000
Er3 0.0837 0.7500 0.1674
Er4 0.0000 0.5000 0.5000
Er5 0.5000 0.5000 0.5000
Er6 0.9163 0.2500 0.8326
Er7 0.5927 0.2500 0.1854
Er8 0.4073 0.7500 0.8146
Ge1 0.8855 0.7500 0.7711
Ge2 0.1145 0.2500 0.2289
Pb1 0.6060 0.7500 0.2121
Pb2 0.3940 0.2500 0.7879

Space group: Cmcm
Formation energy from the elements (kJ/mol of formula units): -402
Magnetic moment (Bohr magnetons per cell): 0.000

First-principles (PBE) data for a relaxed Er5GePb2C crystal, as listed in Alexandria.

Cell: 4.6574 4.6574 10.9607 Å, 90.00 90.00 90.00°
Fractional positions:
Er1 0.0000 0.0000 0.7387
Er2 0.0000 0.5000 0.5000
Er3 0.5000 0.5000 0.0000
Er4 0.5000 0.0000 0.5000
Er5 0.0000 0.0000 0.2613
C1 0.0000 0.0000 0.5000
Pb1 0.5000 0.5000 0.2916
Pb2 0.5000 0.5000 0.7084
Ge1 0.0000 0.0000 0.0000

Space group: P4/mmm
Formation energy from the elements (kJ/mol of formula units): -423
Magnetic moment (Bohr magnetons per cell): 0.000

First-principles (PBE) data for a relaxed ErGeRu2C crystal, as listed in Alexandria.

Cell: 3.8312 5.9304 7.2933 Å, 90.00 90.00 108.84°
Fractional positions:
Ge1 0.2651 0.5302 0.2500
Ge2 0.7349 0.4698 0.7500
Ru1 0.1610 0.3221 0.5563
Ru2 0.8390 0.6779 0.0563
Ru3 0.8390 0.6779 0.4437
Ru4 0.1610 0.3221 0.9437
C1 0.0000 0.0000 0.0000
C2 0.0000 0.0000 0.5000
Er1 0.5444 0.0887 0.2500
Er2 0.4556 0.9113 0.7500

Space group: Cmcm
Formation energy from the elements (kJ/mol of formula units): -227
Magnetic moment (Bohr magnetons per cell): 0.000

First-principles (PBE) data for a relaxed Er4GeCS2 crystal, as listed in Alexandria.

Cell: 5.4756 5.4756 6.7609 Å, 113.89 113.89 90.00°
Fractional positions:
Ge1 0.5000 0.5000 0.0000
C1 0.7500 0.2500 0.5000
S1 0.0000 0.0000 0.0000
S2 0.2500 0.7500 0.5000
Er1 0.9714 0.4714 0.9428
Er2 0.7504 0.7504 0.5007
Er3 0.5286 0.0286 0.0572
Er4 0.2496 0.2496 0.4993

Raw formation energy (eV/atom): -1.277
Space group: I-4m2
Magnetic moment (Bohr magnetons per cell): 0.000